No. 1
## Sc3SbO2 (PBE)

Data for Sc3SbO2 after structural relaxation. Values from VASP.

The structure in Quantum ESPRESSO input format:
```
&SYSTEM
  ibrav = 0, nat = 12, ntyp = 3
/
ATOMIC_SPECIES
Sb 121.76 Sb.upf
O 16.00 O.upf
Sc 44.96 Sc.upf
CELL_PARAMETERS angstrom
-1.399 -0.262 -3.384
2.329 -4.777 -0.594
-11.702 -0.261 4.860
ATOMIC_POSITIONS angstrom
Sb -2.924 -2.035 0.371
O -4.818 -4.812 1.369
Sc -5.136 -3.977 -0.555
Sc -0.226 -1.736 -0.768
Sc -8.916 -0.690 2.745
Sc -5.637 -1.322 1.438
Sb -7.849 -3.264 0.511
O -10.016 -2.364 3.329
Sc -10.547 -3.563 1.650
O -5.955 -0.487 -0.487
O -0.757 -2.935 -2.447
Sc -1.857 -4.609 -1.862
```

Summary:
Calculated total energy = -7.6627 eV/atom
Formation energy from raw total energies = -2157.2 meV/atom


No. 2
## ScSbO2 (PBE)

Data for ScSbO2 after structural relaxation. Values from VASP.

The structure in Quantum ESPRESSO input format:
```
&SYSTEM
  ibrav = 0, nat = 4, ntyp = 3
/
ATOMIC_SPECIES
O 16.00 O.upf
Sb 121.76 Sb.upf
Sc 44.96 Sc.upf
CELL_PARAMETERS angstrom
2.504 -2.981 1.659
-1.642 -2.986 2.510
-0.276 -3.996 -1.366
ATOMIC_POSITIONS angstrom
O 0.147 -2.491 0.701
Sb 0.293 -4.981 1.401
O 0.440 -7.472 2.102
Sc 0.000 0.000 0.000
```

Summary:
Distance to the lowest polymorph of the same formula = 1.310 eV per atom
Calculated total energy = -6.1352 eV/atom
Formation energy from raw total energies = -1042.6 meV/atom


No. 3
## ScSbO2 (PBE)

Data for ScSbO2 after structural relaxation. Values from VASP.

The structure in Quantum ESPRESSO input format:
```
&SYSTEM
  ibrav = 0, nat = 8, ntyp = 3
/
ATOMIC_SPECIES
O 16.00 O.upf
Sb 121.76 Sb.upf
Sc 44.96 Sc.upf
CELL_PARAMETERS angstrom
-1.498 1.557 -5.000
0.788 -5.074 -1.816
-4.888 -2.829 -2.383
ATOMIC_POSITIONS angstrom
O -3.855 -3.936 -4.521
O -1.914 -0.521 -3.460
Sb -3.371 -1.516 -5.395
Sc -2.228 -4.831 -3.804
O -4.364 -4.704 -7.574
Sb 0.000 0.000 0.000
O -1.063 -3.532 -2.844
Sc -0.355 -1.759 -3.408
```

Summary:
Distance to the lowest polymorph of the same formula = 0.481 eV per atom
Calculated total energy = -6.9648 eV/atom
Formation energy from raw total energies = -1872.2 meV/atom


No. 4
## ScSbO3 (PBE)

Data for ScSbO3 after structural relaxation. Values from VASP.

The structure in Quantum ESPRESSO input format:
```
&SYSTEM
  ibrav = 0, nat = 5, ntyp = 3
/
ATOMIC_SPECIES
O 16.00 O.upf
Sb 121.76 Sb.upf
Sc 44.96 Sc.upf
CELL_PARAMETERS angstrom
4.018 0.000 0.000
0.000 4.018 0.000
0.000 0.000 4.018
ATOMIC_POSITIONS angstrom
O 0.000 0.000 2.009
Sb 2.009 2.009 2.009
Sc 0.000 0.000 0.000
O 2.009 0.000 0.000
O 0.000 2.009 0.000
```

Summary:
Calculated total energy = -6.8846 eV/atom
Formation energy from raw total energies = -1818.9 meV/atom


No. 5
## Sc5Sb2O2 (PBE)

Data for Sc5Sb2O2 after structural relaxation. Values from VASP.

The structure in Quantum ESPRESSO input format:
```
&SYSTEM
  ibrav = 0, nat = 9, ntyp = 3
/
ATOMIC_SPECIES
Sb 121.76 Sb.upf
Sc 44.96 Sc.upf
O 16.00 O.upf
CELL_PARAMETERS angstrom
4.046 0.000 0.000
-2.023 5.631 0.384
0.000 -0.341 7.338
ATOMIC_POSITIONS angstrom
Sb 2.023 0.668 2.118
Sc 2.023 2.246 6.488
Sc 2.023 3.865 3.439
O 0.000 1.641 6.604
Sb 0.000 4.622 5.603
Sc 0.000 1.425 4.283
Sc 0.000 3.044 1.233
O 2.023 3.649 1.117
Sc 0.000 0.000 0.000
```

Summary:
Calculated total energy = -7.2208 eV/atom
Formation energy from raw total energies = -1685.3 meV/atom


No. 6
## Sc2SbO (PBE)

Data for Sc2SbO after structural relaxation. Values from VASP.

The structure in Quantum ESPRESSO input format:
```
&SYSTEM
  ibrav = 0, nat = 4, ntyp = 3
/
ATOMIC_SPECIES
Sc 44.96 Sc.upf
Sb 121.76 Sb.upf
O 16.00 O.upf
CELL_PARAMETERS angstrom
1.910 0.000 8.067
-0.955 1.654 8.067
-0.955 -1.654 8.067
ATOMIC_POSITIONS angstrom
Sc 0.000 0.000 2.843
Sb 0.000 0.000 0.000
Sc 0.000 0.000 21.358
O 0.000 0.000 12.100
```

Summary:
Distance to the lowest polymorph of the same formula = 0.600 eV per atom
Calculated total energy = -6.8034 eV/atom
Formation energy from raw total energies = -1367.5 meV/atom